Material: CsTe3P
Method: DFT, PBE-GGA
State: optimized geometry

Results
Space-group type ... Pm-3m
Formation energy from raw total energies ... -7 kJ/mol of atoms

Cell lengths 5.524, 5.524, 5.524 Å; angles 90.00, 90.00, 90.00 degrees
Fractional positions:
1 Cs 0.500 0.500 0.500
2 P 0.000 0.000 0.000
3 Te 0.000 0.500 0.000
4 Te 0.000 0.000 0.500
5 Te 0.500 0.000 0.000